[1]
The following is a PBE calculation of a relaxed structure of Mg2BP, from Alexandria via LeMat-Bulk.

Unit cell a=6.7074 b=6.7074 c=5.9512 alpha=90.00 beta=90.00 gamma=90.00
Closest atoms and distances in Å follow each position.
Space group I-42d (No. 122)
Asymmetric unit:
Mg 0.2252 0.2500 0.1250 [8 per cell]  2 B 2.38, 2 P 2.60
B 0.0000 0.0000 0.0000 [4 per cell]  4 Mg 2.38
P 0.0000 0.0000 0.5000 [4 per cell]  4 Mg 2.60

D(E_F): 0.7659 states/eV/atom
Relative energy among the computed polymorphs: 0.144 eV/atom

=====

[2]
The following is a PBE calculation of a relaxed structure of Ho6Bi2C, from Alexandria via LeMat-Bulk.

Unit cell a=6.4598 b=7.8839 c=11.5217 alpha=90.00 beta=121.93 gamma=90.00
Closest atoms and distances in Å follow each position.
Space group P2_1/c (No. 14)
Asymmetric unit:
Ho 0.1360 0.0244 0.2454 [4 per cell]  1 C 2.48
Ho 0.1805 0.7157 0.0423 [4 per cell]  1 C 2.45
Ho 0.3644 0.1624 0.0383 [4 per cell]  1 C 2.51
Bi 0.3219 0.1048 0.7414 [4 per cell]  8 Ho 3.09-3.32
C 0.0000 0.0000 0.0000 [2 per cell]  6 Ho 2.45-2.51

D(E_F): 1.0603 states/eV/atom
Relative energy among the computed polymorphs: 0.000 eV/atom

=====

[3]
The following is a PBE calculation of a relaxed structure of Sm3Mg4, from Alexandria via LeMat-Bulk.

Unit cell a=26.5294 b=3.8602 c=3.8602 alpha=90.00 beta=98.31 gamma=90.00
Closest atoms and distances in Å follow each position.
Space group C2/m (No. 12)
Asymmetric unit:
Sm 0.0000 0.0000 0.0000 [2 per cell]  8 Mg 3.31
Sm 0.1431 0.0000 0.1431 [4 per cell]  9 Mg 3.31-3.60
Mg 0.0716 0.5000 0.5711 [4 per cell]  8 Sm 3.31-3.32
Mg 0.2196 0.5000 0.7192 [4 per cell]  4 Mg 3.16, 4 Sm 3.39

D(E_F): 0.8763 states/eV/atom
Energy: -42.10 eV per cell

=====

[4]
The following is a PBE calculation of a relaxed structure of NaGe2Pd2, from Alexandria via LeMat-Bulk.

Unit cell a=4.3576 b=4.3576 c=10.0878 alpha=90.00 beta=90.00 gamma=90.00
Closest atoms and distances in Å follow each position.
Space group I4/mmm (No. 139)
Asymmetric unit:
Na 0.0000 0.0000 0.0000 [2 per cell]  8 Pd 3.33, 8 Ge 3.33
Ge 0.0000 0.0000 0.3740 [4 per cell]  4 Pd 2.51, 1 Ge 2.54
Pd 0.0000 0.5000 0.2500 [4 per cell]  4 Ge 2.51

D(E_F): 0.4150 states/eV/atom
Relative energy among the computed polymorphs: 0.000 eV/atom

=====

[5]
The following is a PBE calculation of a relaxed structure of TaNb2In, from Alexandria via LeMat-Bulk.

Unit cell a=3.4383 b=3.4383 c=6.4444 alpha=90.00 beta=90.00 gamma=90.00
Closest atoms and distances in Å follow each position.
Space group P4/mmm (No. 123)
Asymmetric unit:
Ta 0.0000 0.0000 0.0000 [1 per cell]  8 Nb 2.85
Nb 0.5000 0.5000 0.2319 [2 per cell]  4 Ta 2.85, 4 In 2.98, 1 Nb 2.99
In 0.0000 0.0000 0.5000 [1 per cell]  8 Nb 2.98, 2 Ta 3.22

D(E_F): 0.5838 states/eV/atom
Energy: -34.82 eV per cell

=====

[6]
The following is a PBE calculation of a relaxed structure of CsTiPt3, from Alexandria via LeMat-Bulk.

Unit cell a=4.9588 b=4.9588 c=4.9588 alpha=90.00 beta=90.00 gamma=90.00
Closest atoms and distances in Å follow each position.
Space group Pm-3m (No. 221)
Asymmetric unit:
Cs 0.0000 0.0000 0.0000 [1 per cell]  12 Pt 3.51
Ti 0.5000 0.5000 0.5000 [1 per cell]  6 Pt 2.48
Pt 0.0000 0.5000 0.5000 [3 per cell]  2 Ti 2.48

D(E_F): 0.8936 states/eV/atom
Relative energy among the computed polymorphs: 0.000 eV/atom

=====

[7]
The following is a PBE calculation of a relaxed structure of LiCuBiIr, from Alexandria via LeMat-Bulk.

Unit cell a=6.4199 b=6.4199 c=6.4199 alpha=90.00 beta=90.00 gamma=90.00
Closest atoms and distances in Å follow each position.
Space group F-43m (No. 216)
Asymmetric unit:
Li 0.0000 0.0000 0.0000 [4 per cell]  4 Bi 2.78, 4 Cu 2.78
Cu 0.2500 0.2500 0.2500 [4 per cell]  4 Li 2.78, 4 Ir 2.78
Bi 0.2500 0.2500 0.7500 [4 per cell]  4 Li 2.78, 4 Ir 2.78
Ir 0.0000 0.0000 0.5000 [4 per cell]  4 Cu 2.78, 4 Bi 2.78

D(E_F): 0.5770 states/eV/atom
Energy: -75.17 eV per cell

=====

[8]
The following is a PBE calculation of a relaxed structure of LiCoAu, from Alexandria via LeMat-Bulk.

Unit cell a=2.7461 b=2.7461 c=11.4902 alpha=90.00 beta=90.00 gamma=90.00
Closest atoms and distances in Å follow each position.
Space group I4mm (No. 107)
Asymmetric unit:
Li 0.0000 0.0000 0.0000 [2 per cell]  4 Co 2.71, 4 Li 2.75, 4 Au 2.75
Co 0.0000 0.0000 0.3360 [2 per cell]  4 Li 2.71, 4 Au 2.73, 4 Co 2.75
Au 0.0000 0.0000 0.6692 [2 per cell]  4 Co 2.73, 4 Au 2.75, 4 Li 2.75

D(E_F): 1.1604 states/eV/atom
Relative energy among the computed polymorphs: 0.053 eV/atom

=====

[9]
The following is a PBE calculation of a relaxed structure of RbTi2PdO, from Alexandria via LeMat-Bulk.

Unit cell a=4.7047 b=4.7047 c=6.4374 alpha=90.00 beta=90.00 gamma=90.00
Closest atoms and distances in Å follow each position.
Space group P4/mmm (No. 123)
Asymmetric unit:
Rb 0.0000 0.0000 0.0000 [1 per cell]  2 Pd 3.22, 4 O 3.33
Ti 0.0000 0.5000 0.5000 [2 per cell]  2 Pd 2.35
Pd 0.0000 0.0000 0.5000 [1 per cell]  4 Ti 2.35
O 0.5000 0.5000 0.0000 [1 per cell]  4 Rb 3.33

D(E_F): 0.8575 states/eV/atom
E_form (uncorrected): 0.860 eV/atom

=====

[10]
The following is a PBE calculation of a relaxed structure of PaTi2Mo, from Alexandria via LeMat-Bulk.

Unit cell a=3.0962 b=3.0962 c=27.4968 alpha=90.00 beta=90.00 gamma=120.00
Closest atoms and distances in Å follow each position.
Space group R-3m (No. 166, hexagonal axes)
Asymmetric unit:
Pa 0.0000 0.0000 0.0000 [3 per cell]  6 Pa 3.10, 6 Ti 3.19
Ti 0.0000 0.0000 0.2373 [6 per cell]  3 Mo 2.64
Mo 0.0000 0.0000 0.5000 [3 per cell]  6 Ti 2.64

D(E_F): 2.1091 states/eV/atom
Relative energy among the computed polymorphs: 0.148 eV/atom

=====

[11]
The following is a PBE calculation of a relaxed structure of YFeOs2, from Alexandria via LeMat-Bulk.

Unit cell a=7.4863 b=7.4863 c=5.0212 alpha=90.00 beta=90.00 gamma=90.00
Closest atoms and distances in Å follow each position.
Space group I-42d (No. 122)
Asymmetric unit:
Y 0.0000 0.0000 0.0000 [4 per cell]  2 Fe 2.51
Fe 0.0000 0.0000 0.5000 [4 per cell]  4 Os 2.41, 2 Y 2.51
Os 0.1855 0.2500 0.6250 [8 per cell]  2 Fe 2.41, 2 Os 2.69

D(E_F): 0.8534 states/eV/atom
Relative energy among the computed polymorphs: 0.289 eV/atom

=====

[12]
The following is a PBE calculation of a relaxed structure of Ac4TlTe5, from Alexandria via LeMat-Bulk.

Unit cell a=4.7525 b=4.7525 c=59.4772 alpha=90.00 beta=90.00 gamma=120.00
Closest atoms and distances in Å follow each position.
Space group R-3m (No. 166, hexagonal axes)
Asymmetric unit:
Ac 0.0000 0.0000 0.0973 [6 per cell]  6 Te 3.33-3.36
Ac 0.0000 0.0000 0.3011 [6 per cell]  6 Te 3.35-3.36
Tl 0.0000 0.0000 0.5000 [3 per cell]  6 Te 3.54
Te 0.0000 0.0000 0.0000 [3 per cell]  6 Ac 3.35
Te 0.0000 0.0000 0.2042 [6 per cell]  3 Ac 3.33, 3 Tl 3.54
Te 0.0000 0.0000 0.3981 [6 per cell]  6 Ac 3.36

D(E_F): 0.5804 states/eV/atom
E_form (uncorrected): -1.348 eV/atom